<i>
Here is a relaxed ZnBrN2 crystal from Alexandria. Energies are from PBE.

Crystal system   trigonal

The structure in POSCAR format:
```
ZnBrN2
1.0
2.0354 0.0000 5.7375
-1.0177 1.7627 5.7375
-1.0177 -1.7627 5.7375
Zn Br N
1 1 2
Direct
0.0000 0.0000 0.0000
0.5000 0.5000 0.5000
0.8917 0.8917 0.8917
0.1083 0.1083 0.1083
```

***

<ii>
Here is a relaxed ZnBrN2 crystal from Alexandria. Energies are from PBE.

Crystal system   cubic

The structure in POSCAR format:
```
ZnBrN2
1.0
-3.7362 -1.3520 0.8812
-3.1147 2.6121 0.2003
-2.8796 -0.0425 -2.8758
Zn Br N
1 1 2
Direct
0.0000 0.0000 0.0000
0.5000 0.5000 0.5000
0.2500 0.2500 0.2500
0.7500 0.7500 0.7500
```

***

It is <i> that is the most stable of them.

***

<i>
Here is a relaxed ZnBr3N crystal from Alexandria. Energies are from PBE.

Crystal system   triclinic

The structure in POSCAR format:
```
ZnBr3N
1.0
7.0644 0.5721 -3.1556
3.6100 6.1041 -3.1633
-5.5648 -3.5128 11.7758
Zn Br N
2 6 2
Direct
0.9254 0.4090 0.5275
0.4432 0.8913 0.5274
0.2436 0.2084 0.2917
0.1237 0.0907 0.7620
0.3704 0.3365 0.6071
0.5455 0.5087 0.2951
0.9980 0.9636 0.4474
0.8233 0.7918 0.7599
0.5192 0.4911 0.0109
0.8483 0.8079 0.0434
```

***

<ii>
Here is a relaxed ZnBr3N crystal from Alexandria. Energies are from PBE.

Crystal system   cubic

The structure in POSCAR format:
```
ZnBr3N
1.0
5.2045 0.0000 0.0000
0.0000 5.2045 0.0000
0.0000 0.0000 5.2045
Zn Br N
1 3 1
Direct
0.0000 0.0000 0.0000
0.0000 0.5000 0.0000
0.0000 0.0000 0.5000
0.5000 0.0000 0.0000
0.5000 0.5000 0.5000
```

***

It is <i> that is the most stable of them.

***

<i>
Here is a relaxed ZrBr2N crystal from Alexandria. Energies are from PBE.

Crystal system   cubic

The structure in POSCAR format:
```
ZrBr2N
1.0
0.0000 3.3375 3.3375
3.3375 0.0000 3.3375
3.3375 3.3375 0.0000
Br Zr N
2 1 1
Direct
0.2500 0.2500 0.2500
0.7500 0.7500 0.7500
0.5000 0.5000 0.5000
0.0000 0.0000 0.0000
```

***

<ii>
Here is a relaxed ZrBr2N crystal from Alexandria. Energies are from PBE.

Crystal system   trigonal

The structure in POSCAR format:
```
ZrBr2N
1.0
-6.5795 1.8275 8.8290
-3.9973 4.4312 9.4322
-6.8515 5.1364 7.1592
Br Zr N
2 1 1
Direct
0.9243 0.9243 0.9243
0.0757 0.0757 0.0757
0.0000 0.0000 0.0000
0.5000 0.5000 0.5000
```

***

It is <i> that is the most stable of them.